A geometry-optimized TiCdH2 structure, computed with PBEsol.

Geometry as CIF:
```
data_TiCdH2
_cell_length_a 4.363
_cell_length_b 4.363
_cell_length_c 9.280
_cell_angle_alpha 90.00
_cell_angle_beta 90.00
_cell_angle_gamma 90.00
_space_group_name_H-M_alt 'I -4 2 d'
_space_group_IT_number 122
_space_group_name_Hall 'I -4 2bw'
loop_
_atom_site_label
_atom_site_type_symbol
_atom_site_fract_x
_atom_site_fract_y
_atom_site_fract_z
_atom_site_occupancy
Ti1 Ti 0.000 0.000 0.000 1
Cd1 Cd 0.000 0.000 0.500 1
H1 H 0.173 0.250 0.125 1
```


A geometry-optimized NiMoRh structure, computed with PBEsol.

Polymorph energy (0 for the lowest one) ... 0.700 eV per atom
ΔH_f (0 K) ... 0.533 eV/atom

Geometry as CIF:
```
data_NiMoRh
_cell_length_a 5.611
_cell_length_b 5.611
_cell_length_c 5.611
_cell_angle_alpha 90.00
_cell_angle_beta 90.00
_cell_angle_gamma 90.00
_space_group_name_H-M_alt 'F -4 3 m'
_space_group_IT_number 216
_space_group_name_Hall 'F -4 2 3'
loop_
_atom_site_label
_atom_site_type_symbol
_atom_site_fract_x
_atom_site_fract_y
_atom_site_fract_z
_atom_site_occupancy
Ni1 Ni 0.000 0.000 0.000 1
Mo1 Mo 0.250 0.250 0.750 1
Rh1 Rh 0.250 0.250 0.250 1
```


A geometry-optimized CaTe2As structure, computed with PBEsol.

Formation energy without anion corrections ... -0.198 eV/atom

Geometry as CIF:
```
data_CaTe2As
_cell_length_a 7.469
_cell_length_b 7.469
_cell_length_c 7.469
_cell_angle_alpha 90.00
_cell_angle_beta 90.00
_cell_angle_gamma 90.00
_space_group_name_H-M_alt 'F -4 3 m'
_space_group_IT_number 216
_space_group_name_Hall 'F -4 2 3'
loop_
_atom_site_label
_atom_site_type_symbol
_atom_site_fract_x
_atom_site_fract_y
_atom_site_fract_z
_atom_site_occupancy
Ca1 Ca 0.000 0.000 0.000 1
Te1 Te 0.000 0.000 0.500 1
Te2 Te 0.250 0.250 0.250 1
As1 As 0.250 0.250 0.750 1
```


A geometry-optimized PmIn3 structure, computed with PBEsol.

ΔH_f (0 K) ... -0.524 eV/atom

Geometry as CIF:
```
data_PmIn3
_cell_length_a 4.606
_cell_length_b 4.606
_cell_length_c 4.606
_cell_angle_alpha 90.00
_cell_angle_beta 90.00
_cell_angle_gamma 90.00
_space_group_name_H-M_alt 'P m -3 m'
_space_group_IT_number 221
_space_group_name_Hall '-P 4 2 3'
loop_
_atom_site_label
_atom_site_type_symbol
_atom_site_fract_x
_atom_site_fract_y
_atom_site_fract_z
_atom_site_occupancy
Pm1 Pm 0.000 0.000 0.000 1
In1 In 0.000 0.500 0.500 1
```


A geometry-optimized Na2SiSnCO7 structure, computed with PBEsol.

Formation energy without anion corrections ... -1.977 eV/atom

Geometry as CIF:
```
data_Na2SiSnCO7
_cell_length_a 5.268
_cell_length_b 6.643
_cell_length_c 9.115
_cell_angle_alpha 90.00
_cell_angle_beta 91.32
_cell_angle_gamma 90.00
_space_group_name_H-M_alt 'P 1 21/m 1'
_space_group_IT_number 11
_space_group_name_Hall '-P 2yb'
loop_
_atom_site_label
_atom_site_type_symbol
_atom_site_fract_x
_atom_site_fract_y
_atom_site_fract_z
_atom_site_occupancy
Na1 Na 0.240 0.008 0.275 1
Si1 Si 0.287 0.750 0.925 1
Sn1 Sn 0.206 0.250 0.861 1
C1 C 0.273 0.250 0.578 1
O1 O 0.047 0.250 0.634 1
O2 O 0.168 0.750 0.090 1
O3 O 0.194 0.553 0.832 1
O4 O 0.316 0.250 0.444 1
O5 O 0.398 0.250 0.056 1
O6 O 0.461 0.250 0.679 1
```


A geometry-optimized Li6YB3O9 structure, computed with PBEsol.

Formation energy without anion corrections ... -2.508 eV/atom

Geometry as CIF:
```
data_Li6YB3O9
_cell_length_a 7.150
_cell_length_b 16.316
_cell_length_c 6.606
_cell_angle_alpha 90.00
_cell_angle_beta 105.18
_cell_angle_gamma 90.00
_space_group_name_H-M_alt 'P 1 21/c 1'
_space_group_IT_number 14
_space_group_name_Hall '-P 2ybc'
loop_
_atom_site_label
_atom_site_type_symbol
_atom_site_fract_x
_atom_site_fract_y
_atom_site_fract_z
_atom_site_occupancy
Li1 Li 0.044 0.030 0.170 1
Li2 Li 0.061 0.705 0.045 1
Li3 Li 0.194 0.535 0.056 1
Li4 Li 0.216 0.206 0.866 1
Li5 Li 0.365 0.054 0.914 1
Li6 Li 0.428 0.004 0.323 1
Y1 Y 0.419 0.690 0.847 1
B1 B 0.059 0.615 0.690 1
B2 B 0.214 0.121 0.502 1
B3 B 0.414 0.636 0.338 1
O1 O 0.036 0.088 0.415 1
O2 O 0.078 0.699 0.730 1
O3 O 0.108 0.079 0.924 1
O4 O 0.224 0.568 0.771 1
O5 O 0.241 0.203 0.559 1
O6 O 0.351 0.686 0.164 1
O7 O 0.382 0.074 0.543 1
O8 O 0.410 0.552 0.325 1
O9 O 0.492 0.674 0.529 1
```


Number 1: E_tot -4.0383 eV/atom. Number 2: E_tot -8.1547 eV/atom. Number 3: E_tot -3.7708 eV/atom. Number 4: E_tot -4.0457 eV/atom. Number 5: E_tot -6.9097 eV/atom. Number 6: E_tot -7.0825 eV/atom.